(i)
! PBE-GGA K2RbInCu, optimized geometry; values from VASP
! Magnetic moment: 0.0 Bohr magnetons per cell
&SYSTEM
  ibrav = 0, nat = 5, ntyp = 4
/
ATOMIC_SPECIES
In 114.82 In.upf
K 39.10 K.upf
Cu 63.55 Cu.upf
Rb 85.47 Rb.upf
ATOMIC_POSITIONS crystal
In 0.0000 0.0000 0.5000
K 0.5000 0.0000 0.0000
K 0.0000 0.5000 0.0000
Cu 0.0000 0.0000 0.0000
Rb 0.5000 0.5000 0.5000
CELL_PARAMETERS angstrom
-3.1685 -1.0561 -5.6887
-4.0420 -4.2368 3.0378
-3.2139 3.8387 1.0774



(ii)
! PBE-GGA K2RbInCu, optimized geometry; values from VASP
! Magnetic moment: 0.0 Bohr magnetons per cell
&SYSTEM
  ibrav = 0, nat = 5, ntyp = 4
/
ATOMIC_SPECIES
Rb 85.47 Rb.upf
K 39.10 K.upf
In 114.82 In.upf
Cu 63.55 Cu.upf
ATOMIC_POSITIONS crystal
Rb 0.5000 0.5000 0.5000
K 0.5000 0.0000 0.0000
K 0.0000 0.0000 0.5000
In 0.0000 0.0000 0.0000
Cu 0.0000 0.5000 0.0000
CELL_PARAMETERS angstrom
-3.1329 -5.3624 3.1777
4.5168 -2.0781 0.9462
0.3023 3.4216 6.0720



In meV/atom, relative to the most stable structure: (i) 0; (ii) 87.



(i)
! PBE-GGA LaIn2Cu9, optimized geometry; values from VASP
! Magnetic moment: 0.0 Bohr magnetons per cell
&SYSTEM
  ibrav = 0, nat = 24, ntyp = 3
/
ATOMIC_SPECIES
Cu 63.55 Cu.upf
In 114.82 In.upf
La 138.91 La.upf
ATOMIC_POSITIONS crystal
Cu 0.4354 0.2926 0.5000
Cu 0.6764 0.1764 0.7512
Cu 0.0646 0.7926 0.5000
Cu 0.2926 0.5646 0.5000
Cu 0.9354 0.2074 0.5000
Cu 0.8236 0.6764 0.2488
Cu 0.7926 0.9354 0.5000
Cu 0.5646 0.7074 0.5000
Cu 0.0000 0.5000 0.5000
Cu 0.3236 0.8236 0.7512
Cu 0.1764 0.3236 0.7512
Cu 0.3236 0.8236 0.2488
Cu 0.2074 0.0646 0.5000
Cu 0.7074 0.4354 0.5000
Cu 0.5000 0.0000 0.5000
Cu 0.1764 0.3236 0.2488
Cu 0.8236 0.6764 0.7512
Cu 0.6764 0.1764 0.2488
In 0.6227 0.8773 0.0000
In 0.1227 0.6227 0.0000
In 0.8773 0.3773 0.0000
In 0.3773 0.1227 0.0000
La 0.5000 0.5000 0.0000
La 0.0000 0.0000 0.0000
CELL_PARAMETERS angstrom
-5.8623 -4.0435 4.7827
-4.0561 -2.5404 -7.1194
2.7947 -4.1736 -0.1030



(ii)
! PBE-GGA LaIn2Cu9, optimized geometry; values from VASP
! Magnetic moment: 0.0 Bohr magnetons per cell
&SYSTEM
  ibrav = 0, nat = 24, ntyp = 3
/
ATOMIC_SPECIES
Cu 63.55 Cu.upf
La 138.91 La.upf
In 114.82 In.upf
ATOMIC_POSITIONS crystal
Cu 0.8321 0.6642 0.8772
Cu 0.1679 0.3358 0.3772
Cu 0.8321 0.6642 0.6228
Cu 0.0000 0.0000 0.0000
Cu 0.0000 0.0000 0.5000
Cu 0.0000 0.0000 0.2500
Cu 0.1679 0.3358 0.1228
Cu 0.6642 0.8321 0.1228
Cu 0.3358 0.1679 0.8772
Cu 0.6667 0.3333 0.7500
Cu 0.1679 0.8321 0.3772
Cu 0.1679 0.8321 0.1228
Cu 0.3333 0.6667 0.2500
Cu 0.8321 0.1679 0.6228
Cu 0.0000 0.0000 0.7500
Cu 0.6642 0.8321 0.3772
Cu 0.3358 0.1679 0.6228
Cu 0.8321 0.1679 0.8772
La 0.3333 0.6667 0.7500
La 0.6667 0.3333 0.2500
In 0.3333 0.6667 0.5372
In 0.6667 0.3333 0.0372
In 0.3333 0.6667 0.9628
In 0.6667 0.3333 0.4628
CELL_PARAMETERS angstrom
5.1319 0.0000 0.0000
-2.5660 4.4444 0.0000
0.0000 0.0000 16.2995



In meV/atom, relative to the most stable structure: (i) 0; (ii) 16.



(i)
! PBE-GGA La2InCuS5, optimized geometry; values from VASP
! Magnetic moment: 0.0 Bohr magnetons per cell
&SYSTEM
  ibrav = 0, nat = 18, ntyp = 4
/
ATOMIC_SPECIES
S 32.06 S.upf
La 138.91 La.upf
Cu 63.55 Cu.upf
In 114.82 In.upf
ATOMIC_POSITIONS crystal
S 0.3532 0.7064 0.0000
S 0.9583 0.9166 0.5572
S 0.3014 0.6028 0.3482
S 0.4981 0.9963 0.2860
S 0.6468 0.2936 0.5000
S 0.7101 0.4203 0.1589
S 0.2899 0.5797 0.6589
S 0.0417 0.0834 0.0572
S 0.5019 0.0037 0.7860
S 0.6986 0.3972 0.8482
La 0.8888 0.7776 0.1874
La 0.1226 0.2452 0.3026
La 0.1112 0.2224 0.6874
La 0.8774 0.7548 0.8026
Cu 0.5018 0.0037 0.4814
Cu 0.4982 0.9963 0.9814
In 0.1917 0.3834 0.0024
In 0.8083 0.6166 0.5024
CELL_PARAMETERS angstrom
-3.3351 -1.2816 1.7255
4.8710 -7.0695 -0.3976
4.4966 2.5048 10.5518



(ii)
! PBE-GGA La2InCuS5, optimized geometry; values from VASP
! Magnetic moment: 0.0 Bohr magnetons per cell
&SYSTEM
  ibrav = 0, nat = 36, ntyp = 4
/
ATOMIC_SPECIES
Cu 63.55 Cu.upf
In 114.82 In.upf
S 32.06 S.upf
La 138.91 La.upf
ATOMIC_POSITIONS crystal
Cu 0.2500 0.5859 0.4991
Cu 0.2500 0.0859 0.0009
Cu 0.7500 0.4141 0.5009
Cu 0.7500 0.9141 0.9991
In 0.7500 0.8059 0.3605
In 0.2500 0.1941 0.6395
In 0.2500 0.6941 0.8605
In 0.7500 0.3059 0.1395
S 0.7500 0.3173 0.3841
S 0.2500 0.3993 0.5735
S 0.7500 0.1116 0.5375
S 0.7500 0.6116 0.9625
S 0.2500 0.6827 0.6159
S 0.7500 0.0141 0.3054
S 0.7500 0.1007 0.0735
S 0.7500 0.2599 0.7280
S 0.2500 0.1827 0.8841
S 0.7500 0.7599 0.7720
S 0.2500 0.4859 0.8054
S 0.2500 0.3884 0.0375
S 0.2500 0.8884 0.4625
S 0.7500 0.5141 0.1946
S 0.2500 0.2401 0.2280
S 0.2500 0.8993 0.9265
S 0.7500 0.6007 0.4265
S 0.2500 0.9859 0.6946
S 0.7500 0.8173 0.1159
S 0.2500 0.7401 0.2720
La 0.7500 0.3642 0.9072
La 0.7500 0.0208 0.8216
La 0.2500 0.6358 0.0928
La 0.2500 0.1358 0.4072
La 0.2500 0.4792 0.3216
La 0.7500 0.5208 0.6784
La 0.7500 0.8642 0.5928
La 0.2500 0.9792 0.1784
CELL_PARAMETERS angstrom
-0.5889 0.1267 -3.9260
-10.4036 -5.0593 1.3972
-7.1924 15.2236 1.5700



In meV/atom, relative to the most stable structure: (i) 36; (ii) 0.